Entry 1:
A plane-wave DFT calculation with PBE was carried out for a relaxed structure of AsPbW.

Computed properties:
Energy relative to the lowest polymorph listed for this composition (meV per atom): 743.2
Spin magnetization (μB per cell): 2.57
Raw total energy (eV per atom): -5.38
ρ (g cm⁻³): 10.1

a = 4.763 Å, b = 4.763 Å, c = 4.763 Å
α = 60.00°, β = 60.00°, γ = 60.00°
Sites, in units of the cell vectors:
As1 0.000 0.000 0.000
Pb1 0.250 0.250 0.250
W1 0.500 0.500 0.500



Entry 2:
A plane-wave DFT calculation with PBE was carried out for a relaxed structure of ErAgSnTeSe2.

Computed properties:
Spin magnetization (μB per cell): 0.00
Raw total energy (eV per atom): -4.39
ρ (g cm⁻³): 7.1

a = 7.300 Å, b = 7.300 Å, c = 11.066 Å
α = 90.00°, β = 90.00°, γ = 147.26°
Sites, in units of the cell vectors:
Er1 0.000 0.000 0.000
Er2 0.000 0.000 0.500
Ag1 0.472 0.528 0.750
Ag2 0.528 0.472 0.250
Sn1 0.214 0.786 0.250
Sn2 0.786 0.214 0.750
Te1 0.108 0.892 0.750
Te2 0.892 0.108 0.250
Se1 0.363 0.637 0.556
Se2 0.363 0.637 0.944
Se3 0.637 0.363 0.056
Se4 0.637 0.363 0.444



Entry 3:
A plane-wave DFT calculation with PBE was carried out for a relaxed structure of KReAgSe2S.

Computed properties:
Spin magnetization (μB per cell): 5.31
Raw total energy (eV per atom): -4.75
ρ (g cm⁻³): 6.1

a = 7.638 Å, b = 7.638 Å, c = 9.951 Å
α = 90.00°, β = 90.00°, γ = 150.79°
Sites, in units of the cell vectors:
K1 0.249 0.751 0.750
K2 0.751 0.249 0.250
Re1 0.500 0.500 0.000
Re2 0.500 0.500 0.500
Ag1 0.048 0.952 0.250
Ag2 0.952 0.048 0.750
Se1 0.119 0.881 0.018
Se2 0.119 0.881 0.482
Se3 0.881 0.119 0.518
Se4 0.881 0.119 0.982
S1 0.439 0.561 0.250
S2 0.561 0.439 0.750



Entry 4:
A plane-wave DFT calculation with PBE was carried out for a relaxed structure of HfTlZnTe3.

Computed properties:
Spin magnetization (μB per cell): 0.03
Raw total energy (eV per atom): -4.31
ρ (g cm⁻³): 7.8

a = 8.191 Å, b = 8.191 Å, c = 10.934 Å
α = 90.00°, β = 90.00°, γ = 151.14°
Sites, in units of the cell vectors:
Hf1 0.000 0.000 0.000
Hf2 0.000 0.000 0.500
Tl1 0.241 0.759 0.750
Tl2 0.759 0.241 0.250
Zn1 0.463 0.537 0.250
Zn2 0.537 0.463 0.750
Te1 0.074 0.926 0.250
Te2 0.371 0.629 0.046
Te3 0.371 0.629 0.454
Te4 0.629 0.371 0.546
Te5 0.629 0.371 0.954
Te6 0.926 0.074 0.750



Entry 5:
A plane-wave DFT calculation with PBE was carried out for a relaxed structure of HfAu2.

Computed properties:
Spin magnetization (μB per cell): 0.09
Raw total energy (eV per atom): -6.06
ρ (g cm⁻³): 17.2
E_form (eV/atom): -0.56

a = 5.050 Å, b = 5.050 Å, c = 5.050 Å
α = 138.84°, β = 138.84°, γ = 59.62°
Sites, in units of the cell vectors:
Hf1 0.000 0.000 0.000
Au1 0.333 0.333 0.000
Au2 0.667 0.667 0.000



Entry 6:
A plane-wave DFT calculation with PBE was carried out for a relaxed structure of NdHoNi2I2.

Computed properties:
Spin magnetization (μB per cell): 0.14
Raw total energy (eV per atom): -4.80
ρ (g cm⁻³): 6.4

a = 4.107 Å, b = 4.107 Å, c = 12.104 Å
α = 90.00°, β = 90.00°, γ = 120.00°
Sites, in units of the cell vectors:
Nd1 0.000 0.000 0.000
Ho1 0.000 0.000 0.303
Ni1 0.333 0.667 0.163
Ni2 0.667 0.333 0.152
I1 0.333 0.667 0.816
I2 0.667 0.333 0.478



Entry 7:
A plane-wave DFT calculation with PBE was carried out for a relaxed structure of YAgPd2.

Computed properties:
Spin magnetization (μB per cell): 0.00
Raw total energy (eV per atom): -5.42
ρ (g cm⁻³): 9.2
E_form (eV/atom): -0.51

a = 4.713 Å, b = 4.713 Å, c = 4.713 Å
α = 60.00°, β = 60.00°, γ = 60.00°
Sites, in units of the cell vectors:
Y1 0.000 0.000 0.000
Ag1 0.250 0.250 0.250
Pd1 0.500 0.500 0.500
Pd2 0.750 0.750 0.750



Entry 8:
A plane-wave DFT calculation with PBE was carried out for a relaxed structure of Nd4S3N2.

Computed properties:
Spin magnetization (μB per cell): 0.00
Raw total energy (eV per atom): -7.15
ρ (g cm⁻³): 5.8

a = 8.068 Å, b = 8.068 Å, c = 6.355 Å
α = 90.72°, β = 90.72°, γ = 76.10°
Sites, in units of the cell vectors:
Nd1 0.056 0.699 0.533
Nd2 0.255 0.422 0.062
Nd3 0.301 0.944 0.967
Nd4 0.422 0.255 0.562
Nd5 0.578 0.745 0.438
Nd6 0.699 0.056 0.033
Nd7 0.745 0.578 0.938
Nd8 0.944 0.301 0.467
S1 0.014 0.754 0.029
S2 0.246 0.986 0.471
S3 0.402 0.598 0.750
S4 0.598 0.402 0.250
S5 0.754 0.014 0.529
S6 0.986 0.246 0.971
N1 0.172 0.421 0.410
N2 0.421 0.172 0.910
N3 0.579 0.828 0.090
N4 0.828 0.579 0.590



Entry 9:
A plane-wave DFT calculation with PBE was carried out for a relaxed structure of Ag2SbH9C2S3N2.

Computed properties:
Raw total energy (eV per atom): -4.83
ρ (g cm⁻³): 3.4

a = 6.113 Å, b = 12.000 Å, c = 7.477 Å
α = 90.00°, β = 119.16°, γ = 90.00°
Sites, in units of the cell vectors:
Ag1 0.000 0.105 0.000
Ag2 0.000 0.895 0.500
Ag3 0.585 0.120 0.089
Ag4 0.585 0.880 0.589
Sb1 0.401 0.105 0.501
Sb2 0.401 0.895 0.001
H1 0.006 0.327 0.264
H2 0.006 0.673 0.764
H3 0.145 0.433 0.974
H4 0.145 0.567 0.474
H5 0.223 0.294 0.766
H6 0.223 0.706 0.266
H7 0.247 0.492 0.809
H8 0.247 0.508 0.309
H9 0.700 0.472 0.717
H10 0.700 0.528 0.217
H11 0.722 0.331 0.239
H12 0.722 0.669 0.739
H13 0.791 0.479 0.039
H14 0.791 0.521 0.539
H15 0.927 0.290 0.728
H16 0.927 0.710 0.228
H17 0.988 0.352 0.545
H18 0.988 0.648 0.045
C1 0.091 0.448 0.813
C2 0.091 0.552 0.313
C3 0.851 0.484 0.205
C4 0.851 0.516 0.705
S1 0.340 0.238 0.229
S2 0.340 0.762 0.729
S3 0.604 0.231 0.800
S4 0.604 0.769 0.300
S5 0.975 0.099 0.457
S6 0.975 0.901 0.957
N1 0.056 0.339 0.709
N2 0.056 0.661 0.209
N3 0.889 0.374 0.299
N4 0.889 0.626 0.799



Entry 10:
A plane-wave DFT calculation with PBE was carried out for a relaxed structure of TaInAgS3.

Computed properties:
Spin magnetization (μB per cell): 0.01
Raw total energy (eV per atom): -5.53
ρ (g cm⁻³): 6.2

a = 8.273 Å, b = 8.273 Å, c = 9.645 Å
α = 90.00°, β = 90.00°, γ = 156.03°
Sites, in units of the cell vectors:
Ta1 0.000 0.000 0.000
Ta2 0.000 0.000 0.500
In1 0.333 0.667 0.750
In2 0.667 0.333 0.250
Ag1 0.305 0.695 0.250
Ag2 0.695 0.305 0.750
S1 0.037 0.963 0.250
S2 0.392 0.608 0.035
S3 0.392 0.608 0.465
S4 0.608 0.392 0.535
S5 0.608 0.392 0.965
S6 0.963 0.037 0.750



Entry 11:
A plane-wave DFT calculation with PBE was carried out for a relaxed structure of DyErGa3Si2.

Computed properties:
Spin magnetization (μB per cell): 0.00
Raw total energy (eV per atom): -4.70
ρ (g cm⁻³): 7.4

a = 5.500 Å, b = 5.500 Å, c = 6.588 Å
α = 100.32°, β = 100.32°, γ = 43.16°
Sites, in units of the cell vectors:
Dy1 0.000 0.000 0.000
Er1 0.238 0.238 0.632
Ga1 0.315 0.315 0.177
Ga2 0.620 0.620 0.317
Ga3 0.922 0.922 0.456
Si1 0.525 0.525 0.682
Si2 0.713 0.713 0.948



Entry 12:
A plane-wave DFT calculation with PBE was carried out for a relaxed structure of YTe3PbAu.

Computed properties:
Energy relative to the lowest polymorph listed for this composition (meV per atom): 0.0
Spin magnetization (μB per cell): 0.02
Raw total energy (eV per atom): -4.53
ρ (g cm⁻³): 8.1

a = 11.251 Å, b = 4.315 Å, c = 14.750 Å
α = 90.00°, β = 90.00°, γ = 90.00°
Sites, in units of the cell vectors:
Y1 0.017 0.250 0.246
Y2 0.483 0.750 0.746
Y3 0.517 0.250 0.254
Y4 0.983 0.750 0.754
Te1 0.039 0.250 0.607
Te2 0.065 0.750 0.099
Te3 0.235 0.750 0.843
Te4 0.265 0.250 0.343
Te5 0.435 0.250 0.599
Te6 0.461 0.750 0.107
Te7 0.539 0.250 0.893
Te8 0.565 0.750 0.401
Te9 0.735 0.750 0.657
Te10 0.765 0.250 0.157
Te11 0.935 0.250 0.901
Te12 0.961 0.750 0.393
Pb1 0.231 0.750 0.524
Pb2 0.269 0.250 0.024
Pb3 0.731 0.750 0.976
Pb4 0.769 0.250 0.476
Au1 0.246 0.250 0.718
Au2 0.254 0.750 0.218
Au3 0.746 0.250 0.782
Au4 0.754 0.750 0.282



Entry 13:
A plane-wave DFT calculation with PBE was carried out for a relaxed structure of YCdCuAs.

Computed properties:
Energy relative to the lowest polymorph listed for this composition (meV per atom): 0.0
Spin magnetization (μB per cell): 0.00
Raw total energy (eV per atom): -4.13
ρ (g cm⁻³): 6.9

a = 4.869 Å, b = 4.869 Å, c = 4.869 Å
α = 60.00°, β = 60.00°, γ = 60.00°
Sites, in units of the cell vectors:
Y1 0.000 0.000 0.000
Cd1 0.750 0.750 0.750
Cu1 0.500 0.500 0.500
As1 0.250 0.250 0.250



Entry 14:
A plane-wave DFT calculation with PBE was carried out for a relaxed structure of Te2Pd3Br2O6.

Computed properties:
Raw total energy (eV per atom): -4.70
ρ (g cm⁻³): 5.9

a = 5.764 Å, b = 5.764 Å, c = 8.096 Å
α = 106.29°, β = 106.29°, γ = 67.62°
Sites, in units of the cell vectors:
Te1 0.170 0.170 0.219
Te2 0.830 0.830 0.781
Pd1 0.000 0.000 0.500
Pd2 0.407 0.407 0.659
Pd3 0.593 0.593 0.341
Br1 0.294 0.294 0.889
Br2 0.706 0.706 0.111
O1 0.105 0.723 0.652
O2 0.277 0.895 0.348
O3 0.366 0.366 0.374
O4 0.634 0.634 0.626
O5 0.723 0.105 0.652
O6 0.895 0.277 0.348



Entry 15:
A plane-wave DFT calculation with PBE was carried out for a relaxed structure of K2TmSnS4.

Computed properties:
Spin magnetization (μB per cell): 0.62
Raw total energy (eV per atom): -4.54
ρ (g cm⁻³): 3.2

a = 7.043 Å, b = 7.043 Å, c = 7.330 Å
α = 121.20°, β = 121.20°, γ = 85.46°
Sites, in units of the cell vectors:
K1 0.000 0.000 0.000
K2 0.750 0.250 0.500
Tm1 0.250 0.750 0.500
Sn1 0.500 0.500 0.000
S1 0.187 0.442 0.065
S2 0.375 0.124 0.564
S3 0.558 0.813 0.935
S4 0.876 0.625 0.436



Entry 16:
A plane-wave DFT calculation with PBE was carried out for a relaxed structure of Sr3Cd4Sn4.

Computed properties:
Energy relative to the lowest polymorph listed for this composition (meV per atom): 0.0
Raw total energy (eV per atom): -2.70
ρ (g cm⁻³): 6.2

a = 9.385 Å, b = 9.385 Å, c = 9.385 Å
α = 148.69°, β = 131.95°, γ = 58.48°
Sites, in units of the cell vectors:
Sr1 0.000 0.000 0.000
Sr2 0.376 0.876 0.500
Sr3 0.624 0.124 0.500
Cd1 0.027 0.332 0.695
Cd2 0.363 0.668 0.695
Cd3 0.637 0.332 0.305
Cd4 0.973 0.668 0.305
Sn1 0.217 0.217 0.000
Sn2 0.310 0.500 0.810
Sn3 0.690 0.500 0.190
Sn4 0.783 0.783 0.000



Entry 17:
A plane-wave DFT calculation with PBE was carried out for a relaxed structure of LaHoNO.

Computed properties:
Energy relative to the lowest polymorph listed for this composition (meV per atom): 7.6
Spin magnetization (μB per cell): 0.14
Raw total energy (eV per atom): -7.86
ρ (g cm⁻³): 7.7

a = 6.797 Å, b = 8.275 Å, c = 5.102 Å
α = 90.00°, β = 90.00°, γ = 90.00°
Sites, in units of the cell vectors:
La1 0.065 0.128 0.000
La2 0.435 0.128 0.500
La3 0.565 0.872 0.000
La4 0.935 0.872 0.500
Ho1 0.086 0.619 0.000
Ho2 0.414 0.619 0.500
Ho3 0.586 0.381 0.000
Ho4 0.914 0.381 0.500
N1 0.081 0.615 0.502
N2 0.419 0.615 0.002
N3 0.581 0.385 0.502
N4 0.919 0.385 0.002
O1 0.084 0.150 0.500
O2 0.416 0.150 0.000
O3 0.584 0.850 0.500
O4 0.916 0.850 0.000



Entry 18:
A plane-wave DFT calculation with PBE was carried out for a relaxed structure of Sr2AsPdO6.

Computed properties:
Raw total energy (eV per atom): -5.96
ρ (g cm⁻³): 6.2

a = 5.556 Å, b = 5.556 Å, c = 5.556 Å
α = 120.21°, β = 120.21°, γ = 89.63°
Sites, in units of the cell vectors:
Sr1 0.000 0.500 0.500
Sr2 0.500 0.000 0.500
As1 0.250 0.250 0.000
Pd1 0.750 0.750 0.000
O1 0.010 0.010 0.523
O2 0.010 0.487 0.000
O3 0.011 0.011 0.000
O4 0.487 0.010 0.000
O5 0.487 0.487 0.000
O6 0.487 0.487 0.477



Entry 19:
A plane-wave DFT calculation with PBE was carried out for a relaxed structure of NaHoHgTe3.

Computed properties:
Energy relative to the lowest polymorph listed for this composition (meV per atom): 0.0
Spin magnetization (μB per cell): 0.00
Raw total energy (eV per atom): -3.46
ρ (g cm⁻³): 6.7

a = 7.756 Å, b = 7.756 Å, c = 11.684 Å
α = 90.00°, β = 90.00°, γ = 147.26°
Sites, in units of the cell vectors:
Na1 0.230 0.770 0.750
Na2 0.770 0.230 0.250
Ho1 0.000 0.000 0.000
Ho2 0.000 0.000 0.500
Hg1 0.466 0.534 0.250
Hg2 0.534 0.466 0.750
Te1 0.092 0.908 0.250
Te2 0.358 0.642 0.052
Te3 0.358 0.642 0.448
Te4 0.642 0.358 0.552
Te5 0.642 0.358 0.948
Te6 0.908 0.092 0.750



Entry 20:
A plane-wave DFT calculation with PBE was carried out for a relaxed structure of Tm3Mg3AlInHg.

Computed properties:
Spin magnetization (μB per cell): 0.01
Raw total energy (eV per atom): -3.12
ρ (g cm⁻³): 7.2

a = 7.409 Å, b = 7.409 Å, c = 4.490 Å
α = 90.00°, β = 90.00°, γ = 120.00°
Sites, in units of the cell vectors:
Tm1 0.095 0.753 0.000
Tm2 0.247 0.343 0.000
Tm3 0.657 0.905 0.000
Mg1 0.426 0.088 0.500
Mg2 0.662 0.574 0.500
Mg3 0.912 0.338 0.500
Al1 0.333 0.667 0.500
In1 0.000 0.000 0.500
Hg1 0.667 0.333 0.000